Below is crystalline Li2NiO2 at its relaxed geometry, with properties calculated at the PBE with a Hubbard U level.

abc: 3.0650 3.0650 18.9291
angles: 90.00 90.00 120.00
Space group R-3m (No. 166, hexagonal axes)
One atom of each set of equivalent atoms:
Li (0.0000, 0.0000, 0.2355)
Ni (0.0000, 0.0000, 0.0000)
O (0.0000, 0.0000, 0.3974)

Values from the calculation:
M_tot (μB per atom): 0.40
Final energy (eV/atom): -4.712
Distance to the lowest polymorph of the same formula (eV/atom): 0.0815